No. 1
This record from Alexandria via LeMat-Bulk describes a geometry-optimized Na2CdH2 structure. The functional is PBE-GGA.

Calculated values
The calculation puts the energy above the lowest structure with this stoichiometry at 13 meV/atom. As for the crystal system: tetragonal. For the electronic total energy, the calculation gives -1.9915 eV per atom.

Cell lengths 7.0012, 7.0012, 3.1728 Å; angles 90.00, 90.00, 90.00 degrees
Last column: nearest neighbours and their distance in Å.
Atoms (fractional coordinates):
Na 0.1501 0.3499 0.0000  6 H 2.53-2.64
Na 0.3499 0.8499 0.0000  6 H 2.53-2.64
Na 0.6501 0.1501 0.0000  6 H 2.53-2.64
Na 0.8499 0.6501 0.0000  6 H 2.53-2.64
Cd 0.0000 0.0000 0.5000  4 H 2.66
Cd 0.5000 0.5000 0.5000  4 H 2.66
H 0.1508 0.6508 0.5000  6 Na 2.53-2.64, 2 Cd 2.66
H 0.3492 0.1508 0.5000  6 Na 2.53-2.64, 2 Cd 2.66
H 0.6508 0.8492 0.5000  6 Na 2.53-2.64, 2 Cd 2.66
H 0.8492 0.3492 0.5000  6 Na 2.53-2.64, 2 Cd 2.66

No. 2
This record from Alexandria via LeMat-Bulk describes a geometry-optimized Na12Cd3H5 structure. The functional is PBE-GGA.

Calculated values
As for the crystal system: cubic. For the electronic total energy, the calculation gives -1.7193 eV per atom.

Cell lengths 13.6758, 13.6758, 13.6758 Å; angles 109.47, 109.47, 109.47 degrees
Last column: nearest neighbours and their distance in Å.
Atoms (fractional coordinates):
Na 0.0107 0.1976 0.1093  1 H 2.25
Na 0.0107 0.3131 0.9015  1 H 2.25
Na 0.0884 0.6976 0.6869  1 H 2.25
Na 0.0884 0.8907 0.4015  1 H 2.25
Na 0.0985 0.6093 0.4116  1 H 2.25
Na 0.0985 0.9893 0.6869  1 H 2.25
Na 0.1093 0.0107 0.1976  1 H 2.25
Na 0.1093 0.5985 0.9116  1 H 2.25
Na 0.1869 0.1976 0.5884  1 H 2.25
Na 0.1869 0.4893 0.5985  1 H 2.25
Na 0.1976 0.1093 0.0107  1 H 2.25
Na 0.1976 0.5884 0.1869  1 H 2.25
Na 0.3024 0.3131 0.9116  1 H 2.25
Na 0.3024 0.4893 0.3907  1 H 2.25
Na 0.3131 0.9015 0.0107  1 H 2.25
Na 0.3131 0.9116 0.3024  1 H 2.25
Na 0.3907 0.3024 0.4893  1 H 2.25
Na 0.3907 0.5884 0.9015  1 H 2.25
Na 0.4015 0.0884 0.8907  1 H 2.25
Na 0.4015 0.8131 0.5107  1 H 2.25
Na 0.4116 0.0985 0.6093  1 H 2.25
Na 0.4116 0.8131 0.8024  1 H 2.25
Na 0.4893 0.3907 0.3024  1 H 2.25
Na 0.4893 0.5985 0.1869  1 H 2.25
Na 0.5107 0.4015 0.8131  1 H 2.25
Na 0.5107 0.6093 0.6976  1 H 2.25
Na 0.5884 0.1869 0.1976  1 H 2.25
Na 0.5884 0.9015 0.3907  1 H 2.25
Na 0.5985 0.1869 0.4893  1 H 2.25
Na 0.5985 0.9116 0.1093  1 H 2.25
Na 0.6093 0.4116 0.0985  1 H 2.25
Na 0.6093 0.6976 0.5107  1 H 2.25
Na 0.6869 0.0884 0.6976  1 H 2.25
Na 0.6869 0.0985 0.9893  1 H 2.25
Na 0.6976 0.5107 0.6093  1 H 2.25
Na 0.6976 0.6869 0.0884  1 H 2.25
Na 0.8024 0.4116 0.8131  1 H 2.25
Na 0.8024 0.8907 0.9893  1 H 2.25
Na 0.8131 0.5107 0.4015  1 H 2.25
Na 0.8131 0.8024 0.4116  1 H 2.25
Na 0.8907 0.4015 0.0884  1 H 2.25
Na 0.8907 0.9893 0.8024  1 H 2.25
Na 0.9015 0.0107 0.3131  1 H 2.25
Na 0.9015 0.3907 0.5884  1 H 2.25
Na 0.9116 0.1093 0.5985  1 H 2.25
Na 0.9116 0.3024 0.3131  1 H 2.25
Na 0.9893 0.6869 0.0985  1 H 2.25
Na 0.9893 0.8024 0.8907  1 H 2.25
Cd 0.1250 0.2500 0.3750  8 Na 3.15-3.24
Cd 0.1250 0.3750 0.7500  8 Na 3.15-3.24
Cd 0.2500 0.3750 0.1250  8 Na 3.15-3.24
Cd 0.2500 0.8750 0.6250  8 Na 3.15-3.24
Cd 0.3750 0.1250 0.2500  8 Na 3.15-3.24
Cd 0.3750 0.7500 0.1250  8 Na 3.15-3.24
Cd 0.6250 0.2500 0.8750  8 Na 3.15-3.24
Cd 0.6250 0.8750 0.7500  8 Na 3.15-3.24
Cd 0.7500 0.1250 0.3750  8 Na 3.15-3.24
Cd 0.7500 0.6250 0.8750  8 Na 3.15-3.24
Cd 0.8750 0.6250 0.2500  8 Na 3.15-3.24
Cd 0.8750 0.7500 0.6250  8 Na 3.15-3.24
H 0.0000 0.0000 0.0000  6 Na 2.54
H 0.0000 0.0000 0.5000  6 Na 2.54
H 0.0000 0.5000 0.0000  6 Na 2.54
H 0.0000 0.5000 0.5000  6 Na 2.54
H 0.1250 0.7500 0.8750  4 Na 2.25
H 0.1250 0.8750 0.2500  4 Na 2.25
H 0.2500 0.1250 0.8750  4 Na 2.25
H 0.2500 0.6250 0.3750  4 Na 2.25
H 0.3750 0.2500 0.6250  4 Na 2.25
H 0.3750 0.6250 0.7500  4 Na 2.25
H 0.5000 0.0000 0.0000  6 Na 2.54
H 0.5000 0.0000 0.5000  6 Na 2.54
H 0.5000 0.5000 0.0000  6 Na 2.54
H 0.5000 0.5000 0.5000  6 Na 2.54
H 0.6250 0.3750 0.2500  4 Na 2.25
H 0.6250 0.7500 0.3750  4 Na 2.25
H 0.7500 0.3750 0.6250  4 Na 2.25
H 0.7500 0.8750 0.1250  4 Na 2.25
H 0.8750 0.1250 0.7500  4 Na 2.25
H 0.8750 0.2500 0.1250  4 Na 2.25

No. 3
This record from Alexandria via LeMat-Bulk describes a geometry-optimized Na2CdH2 structure. The functional is PBE-GGA.

Calculated values
The calculation puts the energy above the lowest structure with this stoichiometry at 0 meV/atom. As for the crystal system: tetragonal. For the electronic total energy, the calculation gives -2.0046 eV per atom.

Cell lengths 6.3267, 6.3267, 6.3267 Å; angles 140.25, 140.25, 57.48 degrees
Last column: nearest neighbours and their distance in Å.
Atoms (fractional coordinates):
Na 0.1943 0.1943 0.0000  4 H 2.24
Na 0.8057 0.8057 0.0000  4 H 2.24
Cd 0.5000 0.5000 0.0000  10 Na 3.39-3.73, 8 H 3.51
H 0.2500 0.7500 0.5000  4 Na 2.24
H 0.7500 0.2500 0.5000  4 Na 2.24

No. 4
This record from Alexandria via LeMat-Bulk describes a geometry-optimized Na3CdNi2H8 structure. The functional is PBE-GGA.

Calculated values
As for the crystal system: trigonal. For the electronic total energy, the calculation gives -3.0331 eV per atom.

Cell lengths 5.1623, 5.1623, 6.7348 Å; angles 90.00, 90.00, 120.00 degrees
Last column: nearest neighbours and their distance in Å.
Atoms (fractional coordinates):
Na 0.0000 0.0000 0.0000  12 H 2.72-2.99
Na 0.3333 0.6667 0.6609  1 H 2.09
Na 0.6667 0.3333 0.3391  1 H 2.09
Cd 0.0000 0.0000 0.5000  6 H 2.01
Ni 0.3333 0.6667 0.2014  4 H 1.55-1.59
Ni 0.6667 0.3333 0.7986  4 H 1.55-1.59
H 0.1810 0.3620 0.3238  1 Ni 1.59
H 0.1810 0.8190 0.3238  1 Ni 1.59
H 0.3333 0.6667 0.9716  1 Ni 1.55
H 0.3620 0.1810 0.6762  1 Ni 1.59
H 0.6380 0.8190 0.3238  1 Ni 1.59
H 0.6667 0.3333 0.0284  1 Ni 1.55
H 0.8190 0.1810 0.6762  1 Ni 1.59
H 0.8190 0.6380 0.6762  1 Ni 1.59